This record from the Alexandria database describes a crystal of CuAsSe2S relaxed with PBEsol. The functional is SCAN.

Unit cell a=4.606 b=4.606 c=4.700 alpha=90.00 beta=90.00 gamma=90.00
Element x y z (fractional)
1 Cu 0.000 0.000 0.000
2 As 0.000 0.000 0.500
3 Se 0.000 0.500 0.000
4 Se 0.500 0.000 0.000
5 S 0.500 0.500 0.500

The calculation puts the formation energy without anion corrections at 0.836 eV per atom. Its total magnetic moment is 0.00 μB/cell.

=====

This record from the Alexandria database describes a crystal of CuAs2SeS relaxed with PBEsol. The functional is SCAN.

Unit cell a=4.784 b=4.784 c=4.201 alpha=90.00 beta=90.00 gamma=90.00
Element x y z (fractional)
1 Cu 0.000 0.000 0.000
2 As 0.000 0.500 0.000
3 As 0.500 0.000 0.000
4 Se 0.500 0.500 0.500
5 S 0.000 0.000 0.500

The calculation puts the formation energy without anion corrections at 0.663 eV per atom. Its total magnetic moment is 0.00 μB/cell.

=====

This record from the Alexandria database describes a crystal of VCu12As3S16 relaxed with PBEsol. The functional is SCAN.

Unit cell a=10.390 b=10.390 c=10.390 alpha=90.02 beta=90.02 gamma=90.02
Element x y z (fractional)
1 V 0.000 0.000 0.000
2 V 0.500 0.500 0.500
3 Cu 0.000 0.256 0.002
4 Cu 0.002 0.000 0.256
5 Cu 0.011 0.258 0.497
6 Cu 0.241 0.497 0.497
7 Cu 0.250 0.754 0.251
8 Cu 0.251 0.250 0.754
9 Cu 0.254 0.750 0.751
10 Cu 0.256 0.002 0.000
11 Cu 0.258 0.497 0.011
12 Cu 0.497 0.011 0.258
13 Cu 0.497 0.241 0.497
14 Cu 0.497 0.497 0.241
15 Cu 0.500 0.502 0.756
16 Cu 0.502 0.756 0.500
17 Cu 0.511 0.997 0.758
18 Cu 0.741 0.997 0.997
19 Cu 0.750 0.751 0.254
20 Cu 0.751 0.254 0.750
21 Cu 0.754 0.251 0.250
22 Cu 0.756 0.500 0.502
23 Cu 0.758 0.511 0.997
24 Cu 0.997 0.741 0.997
25 Cu 0.997 0.758 0.511
26 Cu 0.997 0.997 0.741
27 As 0.001 0.503 0.755
28 As 0.003 0.501 0.255
29 As 0.255 0.003 0.501
30 As 0.501 0.255 0.003
31 As 0.503 0.755 0.001
32 As 0.755 0.001 0.503
33 S 0.122 0.122 0.122
34 S 0.123 0.878 0.877
35 S 0.126 0.628 0.627
36 S 0.127 0.128 0.626
37 S 0.127 0.873 0.382
38 S 0.128 0.626 0.127
39 S 0.131 0.377 0.878
40 S 0.133 0.370 0.359
41 S 0.359 0.133 0.370
42 S 0.370 0.359 0.133
43 S 0.373 0.627 0.882
44 S 0.377 0.378 0.623
45 S 0.377 0.878 0.131
46 S 0.378 0.623 0.377
47 S 0.378 0.877 0.631
48 S 0.382 0.127 0.873
49 S 0.622 0.622 0.622
50 S 0.623 0.377 0.378
51 S 0.626 0.127 0.128
52 S 0.627 0.126 0.628
53 S 0.627 0.882 0.373
54 S 0.628 0.627 0.126
55 S 0.631 0.378 0.877
56 S 0.633 0.859 0.870
57 S 0.859 0.870 0.633
58 S 0.870 0.633 0.859
59 S 0.873 0.382 0.127
60 S 0.877 0.123 0.878
61 S 0.877 0.631 0.378
62 S 0.878 0.131 0.377
63 S 0.878 0.877 0.123
64 S 0.882 0.373 0.627

The calculation puts the formation energy without anion corrections at -0.376 eV per atom. Its total magnetic moment is 0.00 μB/cell.

=====

- formation energy without anion corrections of number 1 (CuAsSe2S)?
  0.836 eV per atom

=====

Please write out number 2 again, unchanged.
This record from the Alexandria database describes a crystal of CuAs2SeS relaxed with PBEsol. The functional is SCAN.

Unit cell a=4.784 b=4.784 c=4.201 alpha=90.00 beta=90.00 gamma=90.00
Element x y z (fractional)
1 Cu 0.000 0.000 0.000
2 As 0.000 0.500 0.000
3 As 0.500 0.000 0.000
4 Se 0.500 0.500 0.500
5 S 0.000 0.000 0.500

The calculation puts the formation energy without anion corrections at 0.663 eV per atom. Its total magnetic moment is 0.00 μB/cell.

=====

- Look up the formation energy without anion corrections of the first one.
  0.836 eV per atom

=====

- total magnetic moment of number 1 (CuAsSe2S)?
  0.00 μB/cell